(1)
GeRuW3 | the Alexandria database | PBE | optimized geometry; size of the total moment = 0.85 μB/f.u.; energy relative to the lowest polymorph listed for this composition = 0.126 eV per atom; total DFT energy (no corrections) = -42.905 eV for the cell shown; calculated formation energy = 190.0 kJ/mol of atoms; Fermi-level density of states = 1.4054 states/eV per atom
1.0
4.770 0.000 0.000
0.000 4.770 0.000
0.000 0.000 4.770
Ru Ge W
1 1 3
Cartesian
0.000 0.000 0.000
2.385 2.385 2.385
0.000 2.385 0.000
0.000 0.000 2.385
2.385 0.000 0.000



(2)
GeRuW3 | the Alexandria database | PBE | optimized geometry; size of the total moment = 0.00 μB/f.u.; energy relative to the lowest polymorph listed for this composition = 0.000 eV per atom; total DFT energy (no corrections) = -43.534 eV for the cell shown; calculated formation energy = 177.9 kJ/mol of atoms; Fermi-level density of states = 1.1775 states/eV per atom
1.0
-0.374 4.396 -1.082
-4.527 -0.353 0.132
0.044 1.090 4.410
Ru Ge W
1 1 3
Cartesian
-2.429 2.566 1.730
0.000 0.000 0.000
-2.264 -0.176 0.066
0.022 0.545 2.205
-0.187 2.198 -0.541



(3)
GeRuW | the Alexandria database | PBE | optimized geometry; size of the total moment = 0.00 μB/f.u.; total DFT energy (no corrections) = -53.762 eV for the cell shown; calculated formation energy = -1.1 kJ/mol of atoms; Fermi-level density of states = 0.5273 states/eV per atom
1.0
4.472 0.000 -0.005
0.000 2.958 0.000
-1.257 0.000 6.789
Ge Ru W
2 2 2
Cartesian
2.842 1.479 6.483
1.698 0.000 4.391
4.025 0.000 1.739
0.562 0.000 6.646
-0.533 1.479 4.052
1.819 1.479 2.139



(4)
Y2GeRu | the Alexandria database | PBE | optimized geometry; size of the total moment = 0.00 μB/f.u.; total DFT energy (no corrections) = -58.544 eV for the cell shown; calculated formation energy = -59.1 kJ/mol of atoms; Fermi-level density of states = 0.5641 states/eV per atom
1.0
-2.731 0.071 2.450
-0.994 -5.893 -0.938
5.829 1.626 6.450
Y Ge Ru
4 2 2
Cartesian
0.176 -0.539 4.334
1.927 -3.658 3.628
-1.131 -4.514 0.244
3.234 0.317 7.718
-1.045 -3.322 3.053
3.149 -0.875 4.909
0.248 -1.589 1.696
1.855 -2.607 6.266



(5)
Y2GeRu2 | the Alexandria database | PBE | optimized geometry; size of the total moment = 0.00 μB/f.u.; energy relative to the lowest polymorph listed for this composition = 0.085 eV per atom; total DFT energy (no corrections) = -76.758 eV for the cell shown; calculated formation energy = -44.0 kJ/mol of atoms; Fermi-level density of states = 0.3685 states/eV per atom
1.0
-2.599 1.047 -6.062
3.319 -5.302 -2.339
-3.463 -2.623 1.032
Y Ru Ge
4 4 2
Cartesian
0.056 -4.719 -2.147
-0.764 -4.962 -5.516
-2.799 -2.159 -5.223
-1.979 -1.916 -1.853
1.922 -4.201 -4.231
-0.137 -2.465 -6.727
-1.202 -0.054 -4.170
0.857 -1.790 -1.674
0.000 0.000 0.000
0.360 -2.128 -4.201



(6)
YGe3Ru2 | the Alexandria database | PBE | optimized geometry; size of the total moment = 0.00 μB/f.u.; total DFT energy (no corrections) = -83.825 eV for the cell shown; calculated formation energy = -49.0 kJ/mol of atoms; Fermi-level density of states = 0.4112 states/eV per atom
1.0
-2.068 3.507 1.215
-2.714 -5.086 2.630
5.138 0.714 6.682
Y Ge Ru
2 6 4
Cartesian
-0.138 -1.086 2.899
0.493 0.221 7.629
-1.814 0.970 1.541
2.887 -0.324 5.847
0.515 1.294 4.570
-2.531 -0.541 4.681
2.170 -1.835 8.987
-0.159 -2.159 5.958
0.000 0.000 0.000
2.569 0.357 3.341
-2.265 -2.977 4.737
2.621 2.112 5.791



(7)
YGeRu2 | the Alexandria database | PBE | optimized geometry; size of the total moment = 0.00 μB/f.u.; total DFT energy (no corrections) = -124.982 eV for the cell shown; calculated formation energy = -38.9 kJ/mol of atoms; Fermi-level density of states = 0.9032 states/eV per atom
1.0
-4.983 4.984 -0.729
-1.719 -2.167 -3.064
-4.467 -5.731 6.559
Y Ru Ge
4 8 4
Cartesian
-9.100 -0.602 5.532
-7.727 1.180 0.720
-6.140 -0.230 3.608
-4.766 1.552 -1.204
-2.506 0.942 0.739
-5.599 -3.006 2.487
-6.319 -2.700 5.455
-4.946 -0.918 0.644
-6.040 3.529 0.893
-9.133 -0.420 2.640
-3.419 -1.077 2.680
-6.512 -5.026 4.428
-3.930 -3.048 4.361
-2.556 -1.266 -0.451
-4.789 1.438 1.670
-7.881 -2.511 3.417



(8)
Y2GeRu2 | the Alexandria database | PBE | optimized geometry; size of the total moment = 0.00 μB/f.u.; energy relative to the lowest polymorph listed for this composition = 0.000 eV per atom; total DFT energy (no corrections) = -77.609 eV for the cell shown; calculated formation energy = -52.2 kJ/mol of atoms; Fermi-level density of states = 0.4158 states/eV per atom
1.0
5.502 0.000 0.000
-2.751 4.814 -1.264
0.000 0.104 7.698
Y Ge Ru
4 2 4
Cartesian
1.921 1.394 0.746
-0.830 3.472 1.839
0.830 3.524 5.688
3.581 1.447 4.595
4.872 0.026 1.924
0.631 0.078 5.773
1.914 3.530 2.849
4.665 1.336 -0.264
0.838 1.388 3.585
-1.914 3.582 6.698



(9)
YGe3Ru | the Alexandria database | PBE | optimized geometry; size of the total moment = 2.28 μB/f.u.; total DFT energy (no corrections) = -22.243 eV for the cell shown; calculated formation energy = 141.8 kJ/mol of atoms; Fermi-level density of states = 0.9296 states/eV per atom
1.0
5.266 0.000 0.000
0.000 5.266 0.000
0.000 0.000 5.266
Y Ru Ge
1 1 3
Cartesian
0.000 0.000 0.000
2.633 2.633 2.633
0.000 2.633 0.000
0.000 0.000 2.633
2.633 0.000 0.000



(10)
YGeRu2 | the Alexandria database | PBE | optimized geometry; size of the total moment = 0.00 μB/f.u.; total DFT energy (no corrections) = -62.400 eV for the cell shown; calculated formation energy = -37.8 kJ/mol of atoms; Fermi-level density of states = 0.9826 states/eV per atom
1.0
-2.253 5.050 -1.072
-3.503 -1.647 -0.395
-0.579 -0.367 6.655
Y Ge Ru
2 2 4
Cartesian
-1.904 0.398 5.633
-4.431 2.637 -0.445
-2.878 2.806 4.238
-3.457 0.229 0.950
-2.422 2.413 1.831
-3.913 0.623 3.357
-1.355 -0.047 2.629
-4.980 3.083 2.560



(11)
Y2Ge2Ru | the Alexandria database | PBE | optimized geometry; size of the total moment = 0.00 μB/f.u.; total DFT energy (no corrections) = -70.500 eV for the cell shown; calculated formation energy = -73.6 kJ/mol of atoms; Fermi-level density of states = 0.4063 states/eV per atom
1.0
-6.423 -0.909 2.116
-0.327 -5.845 -3.506
1.448 -2.160 3.467
Y Ru Ge
4 2 4
Cartesian
-0.625 -5.188 -0.263
-3.885 -6.513 0.272
-4.678 -3.726 2.340
-1.418 -2.401 1.804
0.000 0.000 0.000
-3.375 -3.377 -0.695
-2.635 -5.395 -2.262
-5.770 -4.492 -0.390
-4.115 -1.359 0.872
-0.980 -2.262 -1.000



(12)
YGe3Ru5 | the Alexandria database | PBE | optimized geometry; size of the total moment = 0.00 μB/f.u.; total DFT energy (no corrections) = -137.039 eV for the cell shown; calculated formation energy = -19.6 kJ/mol of atoms; Fermi-level density of states = 0.8403 states/eV per atom
1.0
-2.853 0.821 0.643
-0.717 -6.585 -1.947
1.836 -4.189 13.492
Y Ge Ru
2 6 10
Cartesian
-1.552 -7.058 9.302
-0.182 -2.895 2.887
0.159 -8.475 11.525
-2.491 -5.025 2.539
-0.548 -6.861 6.330
-1.186 -3.092 5.858
0.757 -4.928 9.649
-1.893 -1.479 0.663
-1.991 -5.187 4.964
0.878 -6.182 11.786
0.918 -2.095 6.746
0.000 0.000 0.000
-1.732 -6.446 0.550
-0.003 -3.507 11.638
-0.355 -2.702 9.046
-2.612 -3.771 0.403
0.257 -4.766 7.225
-1.379 -7.251 3.142



(13)
Y2GeRu | the Alexandria database | PBE | optimized geometry; size of the total moment = 0.00 μB/f.u.; total DFT energy (no corrections) = -28.912 eV for the cell shown; calculated formation energy = -50.4 kJ/mol of atoms; Fermi-level density of states = 0.5541 states/eV per atom
1.0
3.489 0.000 0.000
0.000 3.489 0.000
0.000 0.000 7.072
Y Ru Ge
2 1 1
Cartesian
0.000 0.000 5.410
0.000 0.000 1.662
1.744 1.744 0.000
1.744 1.744 3.536



(14)
Y3Ge3Ru2 | the Alexandria database | PBE | optimized geometry; size of the total moment = 0.00 μB/f.u.; total DFT energy (no corrections) = -230.882 eV for the cell shown; calculated formation energy = -71.5 kJ/mol of atoms; Fermi-level density of states = 0.7030 states/eV per atom
1.0
5.752 0.000 0.000
0.000 8.100 0.000
0.000 0.000 14.270
Y Ge Ru
12 12 8
Cartesian
0.689 3.683 5.524
3.564 0.368 8.746
5.063 4.418 12.659
2.187 7.733 1.611
5.063 4.418 8.746
2.187 7.733 5.524
0.689 3.683 1.611
3.564 0.368 12.659
3.641 2.543 3.567
0.765 1.507 10.702
2.111 5.557 10.702
4.987 6.594 3.567
0.605 1.295 3.567
3.481 2.756 10.702
5.146 6.806 10.702
2.271 5.345 3.567
3.640 2.447 6.554
0.764 1.603 7.716
2.112 5.653 13.689
4.988 6.497 0.581
2.112 5.653 7.716
4.988 6.497 6.554
3.640 2.447 0.581
0.764 1.603 13.689
5.144 0.687 5.828
2.268 3.364 8.441
0.608 7.414 12.963
3.483 4.737 1.306
0.608 7.414 8.441
3.483 4.737 5.828
5.144 0.687 1.306
2.268 3.364 12.963



(15)
YGeRu2 | the Alexandria database | PBE | optimized geometry; size of the total moment = 0.00 μB/f.u.; total DFT energy (no corrections) = -124.492 eV for the cell shown; calculated formation energy = -35.9 kJ/mol of atoms; Fermi-level density of states = 0.7780 states/eV per atom
1.0
7.314 0.000 -0.003
0.000 4.053 0.000
-2.122 0.000 9.602
Y Ru Ge
4 8 4
Cartesian
0.860 0.000 1.591
4.332 0.000 8.008
-0.201 2.027 6.393
5.393 2.027 3.207
3.206 0.000 3.518
1.986 0.000 6.081
2.146 2.027 8.320
3.046 2.027 1.280
4.647 0.000 0.851
0.545 0.000 8.749
3.586 2.027 5.652
1.606 2.027 3.947
0.182 0.000 4.306
5.010 0.000 5.294
-0.879 2.027 9.107
6.071 2.027 0.492



(16)
Y2Ge2Ru | the Alexandria database | PBE | optimized geometry; size of the total moment = 1.37 μB/f.u.; total DFT energy (no corrections) = -29.312 eV for the cell shown; calculated formation energy = 41.0 kJ/mol of atoms; Fermi-level density of states = 1.2200 states/eV per atom
1.0
4.433 0.000 0.000
0.000 4.433 0.000
2.217 2.217 5.922
Y Ru Ge
2 1 2
Cartesian
4.433 2.217 2.961
2.217 4.433 2.961
0.000 0.000 0.000
2.217 2.217 1.134
4.433 4.433 4.788



(17)
Y2Ge2Ru | the Alexandria database | PBE | optimized geometry; size of the total moment = 0.00 μB/f.u.; total DFT energy (no corrections) = -71.031 eV for the cell shown; calculated formation energy = -78.7 kJ/mol of atoms; Fermi-level density of states = 0.5956 states/eV per atom
1.0
-4.249 0.063 -0.647
-2.939 -0.092 5.019
-2.104 9.012 0.439
Y Ru Ge
4 2 4
Cartesian
-2.663 2.881 3.505
-4.836 7.953 4.001
-6.628 6.103 1.306
-4.456 1.030 0.810
-7.107 5.626 4.396
-2.185 3.357 0.415
-4.830 5.048 3.665
-4.352 7.905 0.811
-4.462 3.935 1.146
-4.940 1.078 4.000



(18)
Y2GeRu | the Alexandria database | PBE | optimized geometry; size of the total moment = 0.00 μB/f.u.; total DFT energy (no corrections) = -29.320 eV for the cell shown; calculated formation energy = -60.3 kJ/mol of atoms; Fermi-level density of states = 0.5573 states/eV per atom
1.0
-3.456 -2.315 -0.815
1.862 -3.204 1.203
-0.048 2.026 5.470
Y Ge Ru
2 1 1
Cartesian
-1.861 -2.239 3.225
-0.288 0.141 0.822
-1.336 0.654 3.809
-0.896 -2.711 0.476



(19)
YGe3Ru | the Alexandria database | PBE | optimized geometry; size of the total moment = 0.00 μB/f.u.; total DFT energy (no corrections) = -29.358 eV for the cell shown; calculated formation energy = 4.5 kJ/mol of atoms; Fermi-level density of states = 1.0524 states/eV per atom
1.0
-3.465 1.430 -3.108
-2.891 -3.588 1.573
-1.828 2.965 3.402
Y Ru Ge
1 1 3
Cartesian
-4.092 0.403 0.934
0.000 0.000 0.000
-1.446 -1.794 0.787
-0.914 1.482 1.701
-1.733 0.715 -1.554



(20)
YGeRu2 | the Alexandria database | PBE | optimized geometry; size of the total moment = 0.00 μB/f.u.; total DFT energy (no corrections) = -61.849 eV for the cell shown; calculated formation energy = -31.2 kJ/mol of atoms; Fermi-level density of states = 0.8052 states/eV per atom
1.0
-3.992 -0.763 -3.206
2.941 -4.635 -0.332
-2.050 0.099 5.399
Y Ge Ru
2 2 4
Cartesian
0.138 -3.863 -0.659
-3.240 -1.435 2.520
-2.365 -2.174 -0.306
-0.737 -3.125 2.167
-0.785 -0.962 3.560
-2.316 -4.337 -1.699
-2.945 -4.237 1.083
-0.156 -1.062 0.777



(21)
YGeRu2 | the Alexandria database | PBE | optimized geometry; size of the total moment = 0.00 μB/f.u.; total DFT energy (no corrections) = -58.903 eV for the cell shown; calculated formation energy = 4.4 kJ/mol of atoms; Fermi-level density of states = 1.1238 states/eV per atom
1.0
-0.201 -4.197 -0.584
2.516 -0.589 3.364
-5.974 -2.784 6.655
Y Ru Ge
2 4 2
Cartesian
0.000 0.000 0.000
-2.508 -4.687 3.730
-1.284 -2.972 1.778
0.034 -2.009 3.635
-3.360 -3.942 6.371
-2.706 -6.216 7.086
1.158 -2.393 1.390
-1.150 -2.883 5.705



(22)
Y2Ge5Ru3 | the Alexandria database | PBE | optimized geometry; size of the total moment = 0.00 μB/f.u.; total DFT energy (no corrections) = -140.585 eV for the cell shown; calculated formation energy = -62.2 kJ/mol of atoms; Fermi-level density of states = 0.1749 states/eV per atom
1.0
-1.678 4.550 6.960
-6.300 -5.015 2.668
8.399 -0.167 -1.179
Y Ge Ru
4 10 6
Cartesian
0.437 0.948 2.682
3.718 -1.513 0.733
-0.016 -1.580 5.766
-3.297 0.881 7.715
5.538 0.992 1.268
2.530 -1.210 3.463
-3.421 -3.553 3.699
1.574 -3.886 1.117
-1.811 -1.432 3.192
0.525 -1.295 0.372
-2.109 0.578 4.986
2.232 0.800 5.257
3.842 2.921 4.749
-5.117 -1.624 7.180
-0.068 1.626 5.755
6.607 -0.637 -0.289
-6.186 0.005 8.738
0.489 -2.258 2.693
-3.464 -1.528 5.186
3.885 0.896 3.263